Record 1
# PBE NdHBrCl, optimized geometry
# space-group type: R3m (160)
data_NdHBrCl
_chemical_formula_sum 'Nd1 H1 Br1 Cl1'
_cell_length_a 3.9734
_cell_length_b 3.9734
_cell_length_c 7.6728
_cell_angle_alpha 90.03
_cell_angle_beta 104.97
_cell_angle_gamma 120.00
_space_group_name_H-M_alt 'P 1'
_space_group_IT_number 1
loop_
_space_group_symop_operation_xyz
'x,y,z'
loop_
_atom_site_label
_atom_site_fract_x
_atom_site_fract_y
_atom_site_fract_z
_atom_site_occupancy
Nd1 0.8343 0.2817 0.1160 1
H1 0.5031 0.6161 0.1192 1
Br1 0.3470 0.0384 0.3854 1
Cl1 0.0077 0.8682 0.8759 1

***

Record 2
# PBE PaHBrCl, optimized geometry
# space-group type: Cm (8)
data_PaHBrCl
_chemical_formula_sum 'Pa1 H1 Br1 Cl1'
_cell_length_a 3.8333
_cell_length_b 3.8333
_cell_length_c 7.8544
_cell_angle_alpha 90.05
_cell_angle_beta 104.06
_cell_angle_gamma 120.01
_space_group_name_H-M_alt 'P 1'
_space_group_IT_number 1
loop_
_space_group_symop_operation_xyz
'x,y,z'
loop_
_atom_site_label
_atom_site_fract_x
_atom_site_fract_y
_atom_site_fract_z
_atom_site_occupancy
Pa1 0.8350 0.2820 0.1170 1
H1 0.5035 0.6161 0.1196 1
Br1 0.3505 0.0405 0.3910 1
Cl1 0.0031 0.8658 0.8689 1

***

Record 3
# PBE PmHBrCl, optimized geometry
# space-group type: Cm (8)
data_PmHBrCl
_chemical_formula_sum 'Pm1 H1 Br1 Cl1'
_cell_length_a 3.9343
_cell_length_b 3.9343
_cell_length_c 7.6505
_cell_angle_alpha 90.06
_cell_angle_beta 104.84
_cell_angle_gamma 120.00
_space_group_name_H-M_alt 'P 1'
_space_group_IT_number 1
loop_
_space_group_symop_operation_xyz
'x,y,z'
loop_
_atom_site_label
_atom_site_fract_x
_atom_site_fract_y
_atom_site_fract_z
_atom_site_occupancy
Pm1 0.8343 0.2818 0.1161 1
H1 0.5030 0.6161 0.1190 1
Br1 0.3466 0.0384 0.3850 1
Cl1 0.0083 0.8682 0.8765 1

***

Record 4
# PBE PuHBrCl, optimized geometry
# space-group type: Cm (8)
data_PuHBrCl
_chemical_formula_sum 'Pu1 H1 Br1 Cl1'
_cell_length_a 3.8873
_cell_length_b 3.8873
_cell_length_c 7.5764
_cell_angle_alpha 90.08
_cell_angle_beta 104.78
_cell_angle_gamma 120.00
_space_group_name_H-M_alt 'P 1'
_space_group_IT_number 1
loop_
_space_group_symop_operation_xyz
'x,y,z'
loop_
_atom_site_label
_atom_site_fract_x
_atom_site_fract_y
_atom_site_fract_z
_atom_site_occupancy
Pu1 0.5122 0.6207 0.1329 1
H1 0.8422 0.2857 0.1280 1
Br1 0.9988 0.8632 0.8620 1
Cl1 0.3389 0.0347 0.3736 1

***

Here are the calculated DOS at the Fermi energy numbers, same order: 0.000, 0.765, 0.000, 2.865 (states/eV/atom).
Here are the calculated calculated total energy numbers, same order: -4.57, -5.26, -4.57, -6.62 (eV per atom).